Material: KBa2Pb
Method: DFT, GGA-PBE
State: optimized geometry

```
KBa2Pb
1.0
5.3620 0.0000 0.0000
0.0000 4.6333 0.0000
0.0000 0.0000 18.2254
K Ba Pb
2 4 2
direct
0.0000 0.0000 0.0000
0.0000 0.5000 0.5000
0.0000 0.0000 0.6924
0.0000 0.5000 0.1924
0.5000 0.0000 0.3406
0.5000 0.5000 0.8406
0.5000 0.0000 0.1470
0.5000 0.5000 0.6470
```

Volume ... 452.8 Å³/cell
Energy relative to the elements ... -52 kJ/mol of formula units


Material: Ba2YRhI
Method: DFT, GGA-PBE
State: optimized geometry

```
Ba2YRhI
1.0
6.6560 0.0000 0.0000
0.0000 6.6560 0.0000
0.0000 0.0000 5.5925
Ba Y Rh I
2 1 1 1
direct
0.0000 0.5000 0.0000
0.5000 0.0000 0.0000
0.0000 0.0000 0.0000
0.5000 0.5000 0.5000
0.0000 0.0000 0.5000
```

Volume ... 247.8 Å³/cell
Calculated total energy ... -3.060 eV/atom